Crystalline CeNdZr2 at its relaxed geometry. Source: Alexandria via LeMat-Bulk, functional PBE-GGA.

a b c (Å): 11.7858 11.7858 11.7858
angles (deg): 16.09 16.09 16.09
With the nearest neighbours (Å) after each atom.
Fractional positions:
Ce1 0.0000 0.0000 0.0000  6 Zr 3.25, 6 Ce 3.30
Nd1 0.5000 0.5000 0.5000  2 Zr 3.18, 6 Nd 3.30
Zr1 0.4089 0.4089 0.4089  1 Nd 3.18, 3 Ce 3.25, 6 Zr 3.30
Zr2 0.5911 0.5911 0.5911  1 Nd 3.18, 3 Ce 3.25, 6 Zr 3.30

Summary:
As for the mass density: 7.07 g/cm3. As for the space group: R-3m (166). The value obtained for the total energy is -6.649 eV per atom. The crystal system is trigonal. The value obtained for the density of states at the Fermi level is 2.05 states/eV per atom.